DFT (GGA-PBE) results for Dy3YRh8 after structural relaxation.

Summary:
- total magnetic moment (μB/atom) = 0.000
- space group = Cm (8)
- crystal system = monoclinic
- formation energy (eV per atom) = -0.75

a = 5.3387 Å, b = 5.3387 Å, c = 9.2359 Å
α = 73.31°, β = 73.31°, γ = 60.01°
Last column: nearest neighbours and their distance in Å.
Element x y z (fractional)
Dy1 0.3748 0.3748 0.8755  12 Rh 3.12-3.13, 4 Dy 3.27
Dy2 0.0002 0.0002 0.9993  12 Rh 3.12-3.13, 3 Dy 3.27, 1 Y 3.28
Dy3 0.5001 0.5001 0.4999  12 Rh 3.13, 3 Y 3.27, 1 Dy 3.27
Y1 0.8749 0.8749 0.3753  12 Rh 3.13-3.14, 4 Dy 3.27-3.28
Rh1 0.9377 0.4376 0.1872  6 Rh 2.67
Rh2 0.4373 0.9375 0.6878  6 Rh 2.67
Rh3 0.4376 0.4376 0.1872  6 Rh 2.67
Rh4 0.9375 0.9375 0.6878  6 Rh 2.67
Rh5 0.1874 0.1874 0.4376  6 Rh 2.67
Rh6 0.6875 0.6875 0.9375  6 Rh 2.67
Rh7 0.4376 0.9377 0.1872  6 Rh 2.67
Rh8 0.9375 0.4373 0.6878  6 Rh 2.67